A relaxed structure of CsTlAuSe2. Source: Alexandria, functional PBE.

Computed properties:
- DOS at the Fermi energy (states/eV/cell) = 9.52
- magnetization (μB per formula unit) = 0.0
- E_form (uncorrected) (eV/atom) = -0.5418
- calculated volume (Å³ per cell) = 693.0

Structure (CIF):
```
data_CsTlAuSe2
_cell_length_a 7.3174
_cell_length_b 14.1918
_cell_length_c 6.6731
_cell_angle_alpha 90.00
_cell_angle_beta 90.00
_cell_angle_gamma 90.00
_space_group_name_H-M_alt 'C m m e'
_space_group_IT_number 67
_space_group_name_Hall '-C 2a 2'
loop_
_atom_site_label
_atom_site_type_symbol
_atom_site_fract_x
_atom_site_fract_y
_atom_site_fract_z
_atom_site_occupancy
Cs1 Cs 0.0000 0.2500 0.2392 1
Tl1 Tl 0.2500 0.0000 0.5000 1
Au1 Au 0.0000 0.0000 0.0000 1
Se1 Se 0.0000 0.1235 0.7432 1
```

A relaxed structure of Pm4SbAs2S. Source: Alexandria, functional PBE.

Computed properties:
- DOS at the Fermi energy (states/eV/cell) = 1.52
- magnetization (μB per formula unit) = 0.0
- E_form (uncorrected) (eV/atom) = -1.5631
- calculated volume (Å³ per cell) = 219.2

Structure (CIF):
```
data_Pm4SbAs2S
_cell_length_a 7.3765
_cell_length_b 4.2614
_cell_length_c 7.3900
_cell_angle_alpha 90.00
_cell_angle_beta 109.37
_cell_angle_gamma 90.00
_space_group_name_H-M_alt 'P 1 2/m 1'
_space_group_IT_number 10
_space_group_name_Hall '-P 2y'
loop_
_atom_site_label
_atom_site_type_symbol
_atom_site_fract_x
_atom_site_fract_y
_atom_site_fract_z
_atom_site_occupancy
Pm1 Pm 0.2388 0.0000 0.2393 1
Pm2 Pm 0.2458 0.5000 0.7567 1
Sb1 Sb 0.5000 0.5000 0.5000 1
As1 As 0.0000 0.5000 0.0000 1
As2 As 0.5000 0.0000 0.0000 1
S1 S 0.0000 0.0000 0.5000 1
```

A relaxed structure of PmCdAgCl6. Source: Alexandria, functional PBE.

Computed properties:
- DOS at the Fermi energy (states/eV/cell) = 0.00
- magnetization (μB per formula unit) = 0.0
- E_form (uncorrected) (eV/atom) = -1.4411
- calculated volume (Å³ per cell) = 499.1

Structure (CIF):
```
data_PmCdAgCl6
_cell_length_a 6.8484
_cell_length_b 6.8484
_cell_length_c 12.2886
_cell_angle_alpha 90.00
_cell_angle_beta 90.00
_cell_angle_gamma 120.00
_space_group_name_H-M_alt 'P -3 1 c'
_space_group_IT_number 163
_space_group_name_Hall '-P 3 2c'
loop_
_atom_site_label
_atom_site_type_symbol
_atom_site_fract_x
_atom_site_fract_y
_atom_site_fract_z
_atom_site_occupancy
Pm1 Pm 0.3333 0.6667 0.2500 1
Cd1 Cd 0.3333 0.6667 0.7500 1
Ag1 Ag 0.0000 0.0000 0.0000 1
Cl1 Cl 0.0073 0.3480 0.6272 1
```

A relaxed structure of BaCa2TaN4. Source: Alexandria, functional PBE.

Computed properties:
- DOS at the Fermi energy (states/eV/cell) = 18.36
- magnetization (μB per formula unit) = 0.8
- E_form (uncorrected) (eV/atom) = -0.6509
- calculated volume (Å³ per cell) = 500.8

Structure (CIF):
```
data_BaCa2TaN4
_cell_length_a 6.8167
_cell_length_b 6.8687
_cell_length_c 10.6962
_cell_angle_alpha 90.00
_cell_angle_beta 90.00
_cell_angle_gamma 90.00
_space_group_name_H-M_alt 'I m m a'
_space_group_IT_number 74
_space_group_name_Hall '-I 2b 2'
loop_
_atom_site_label
_atom_site_type_symbol
_atom_site_fract_x
_atom_site_fract_y
_atom_site_fract_z
_atom_site_occupancy
Ba1 Ba 0.0000 0.0000 0.0000 1
Ca1 Ca 0.0000 0.0000 0.5000 1
Ca2 Ca 0.2500 0.2500 0.2500 1
Ta1 Ta 0.2500 0.2500 0.7500 1
N1 N 0.0000 0.0288 0.7469 1
N2 N 0.2288 0.2500 0.5581 1
```

A relaxed structure of Er7Bi2Ru2. Source: Alexandria, functional PBE.

Computed properties:
- DOS at the Fermi energy (states/eV/cell) = 17.13
- E_form (eV per atom) = -0.49
- magnetization (μB per formula unit) = 0.0
- calculated volume (Å³ per cell) = 591.9

Structure (CIF):
```
data_Er7Bi2Ru2
_cell_length_a 3.9422
_cell_length_b 16.2366
_cell_length_c 9.2478
_cell_angle_alpha 90.00
_cell_angle_beta 90.00
_cell_angle_gamma 90.00
_space_group_name_H-M_alt 'I m m 2'
_space_group_IT_number 44
_space_group_name_Hall 'I 2 -2'
loop_
_atom_site_label
_atom_site_type_symbol
_atom_site_fract_x
_atom_site_fract_y
_atom_site_fract_z
_atom_site_occupancy
Er1 Er 0.0000 0.0000 0.0000 1
Er2 Er 0.0000 0.1341 0.4165 1
Er3 Er 0.0000 0.3167 0.6213 1
Er4 Er 0.0000 0.3423 0.2549 1
Bi1 Bi 0.0000 0.0000 0.6672 1
Bi2 Bi 0.0000 0.5000 0.7611 1
Ru1 Ru 0.0000 0.2418 0.9322 1
```

A relaxed structure of La2MgSc. Source: Alexandria, functional PBE.

Computed properties:
- DOS at the Fermi energy (states/eV/cell) = 14.16
- E_form (eV per atom) = 0.05
- magnetization (μB per formula unit) = 0.0
- calculated volume (Å³ per cell) = 241.6

Structure (CIF):
```
data_La2MgSc
_cell_length_a 4.8859
_cell_length_b 4.8859
_cell_length_c 10.1193
_cell_angle_alpha 90.00
_cell_angle_beta 90.00
_cell_angle_gamma 90.00
_space_group_name_H-M_alt 'I -4 m 2'
_space_group_IT_number 119
_space_group_name_Hall 'I -4 -2'
loop_
_atom_site_label
_atom_site_type_symbol
_atom_site_fract_x
_atom_site_fract_y
_atom_site_fract_z
_atom_site_occupancy
La1 La 0.0000 0.0000 0.0000 1
La2 La 0.0000 0.5000 0.2500 1
Mg1 Mg 0.0000 0.5000 0.7500 1
Sc1 Sc 0.0000 0.0000 0.5000 1
```